[1]
The following is a PBE calculation of an optimized crystal structure of Th2ZnCd16, from Alexandria.

```
19
Lattice="-4.0411 -6.2465 -1.7013 2.9494 -4.5587 5.3631 -5.4947 0.9454 5.2113" Properties=species:S:1:pos:R:3 pbc="T T T"
Cd -0.6551 -5.8112 5.9082
Cd -1.9444 -5.7257 0.4330
Cd -4.6544 -6.8828 9.3486
Cd 0.4005 -2.9088 5.3038
Cd 0.8342 -5.0548 3.2411
Cd -5.3454 -4.2812 3.3301
Cd -2.4470 -3.5814 6.2592
Cd -4.4180 -6.7197 2.1055
Cd -1.8443 -6.5634 3.3930
Cd -5.2004 -2.8485 5.8265
Cd -5.0419 -1.2246 3.1355
Cd -4.4641 -4.0833 0.3877
Cd -7.6660 -7.6099 6.3052
Cd -4.0282 -9.9812 6.3706
Cd -2.9560 -0.7210 5.2435
Cd -0.6247 -0.9352 0.8416
Th -2.1710 -3.2500 2.9247
Th -4.3794 -6.5560 5.8998
Zn -5.9651 -8.9298 8.0360
```

## Properties
Space group   R3m (160)
Calculated formation energy   -62 meV/atom
Size of the total moment   0.00 μB/f.u.

***

[2]
The following is a PBE calculation of an optimized crystal structure of Os3RhF, from Alexandria.

```
5
Lattice="-1.9707 3.1536 1.8702 -2.5493 0.3475 -3.2721 -2.6352 -2.6945 1.7669" Properties=species:S:1:pos:R:3 pbc="T T T"
Os -1.2746 0.1737 -1.6361
Os -0.9853 1.5768 0.9351
Os -1.3176 -1.3473 0.8835
F 0.0000 0.0000 0.0000
Rh -3.5776 0.4033 0.1825
```

## Properties
Raw formation energy   7.8 eV per formula unit
Energy above the lowest structure with this stoichiometry   0 meV/atom
Space group   Pm-3m (221)
Size of the total moment   0.00 μB/f.u.

***

[3]
The following is a PBE calculation of an optimized crystal structure of CaHo3Bi2, from Alexandria.

```
12
Lattice="-1.0889 -3.5531 -2.4312 -0.6805 -3.8896 10.0454 -7.0346 5.3796 -4.7114" Properties=species:S:1:pos:R:3 pbc="T T T"
Ho -2.2873 -2.9909 5.3957
Ho -3.2427 1.7219 -1.0642
Ho -6.5168 0.9277 -2.4929
Ho -4.3019 -0.7957 3.0897
Ho -4.5022 -1.2675 -0.1869
Ho -5.5613 -3.7851 3.9670
Ca -7.7586 -1.4136 1.4852
Ca -1.0454 -0.6496 1.4176
Bi -6.1492 1.4180 0.6818
Bi -6.9972 -1.1710 4.8454
Bi -2.6549 -3.4812 2.2211
Bi -1.8069 -0.8922 -1.9426
```

## Properties
Space group   C2/m (12)
Calculated formation energy   -468 meV/atom
Size of the total moment   0.00 μB/f.u.